DFT (PBE) results for an optimized crystal structure of Cr2TcCSe.

Values from the calculation:
The calculation puts the electronic total energy at -6.109 eV/atom. The uncorrected formation energy comes out at 2.355 eV per atom.

Lattice parameters (Å, degrees): 4.329 4.547 4.329 90.00 90.00 90.00
Last column: magnetic moment on the atom in μB.
Atoms (fractional coordinates):
Cr 0.000 0.000 0.500  -0.10
Cr 0.500 0.000 0.000  0.01
C 0.500 0.500 0.500  0.03
Tc 0.000 0.500 0.000  -0.41
Se 0.000 0.000 0.000  0.01